No. 1
Entry from the Alexandria database: a relaxed structure of Li5Pt (PBE-GGA).

Cell: 4.470 7.731 7.731 Å, 21.21 90.00 90.00°
Sites, in units of the cell vectors:
Li  0.000  0.000  0.000
Li  0.000  0.296  0.296
Li  0.500  0.198  0.198
Li  0.500  0.556  0.556
Li  0.500  0.880  0.880
Pt  0.000  0.649  0.649

Values from the calculation:
**Formation enthalpy at 0 K**: -0.254 eV/atom
**DFT total energy**: -17.13 eV for the cell shown
**Space group**: Amm2 (38)
**E above lowest polymorph**: 39 meV/atom

***

No. 2
Entry from the Alexandria database: a relaxed structure of Li13Pt3 (PBE-GGA).

Cell: 5.604 6.773 6.773 Å, 85.84 90.00 90.00°
Sites, in units of the cell vectors:
Li  0.000  0.000  0.000
Li  0.000  0.089  0.531
Li  0.000  0.473  0.473
Li  0.000  0.531  0.089
Li  0.258  0.745  0.745
Li  0.262  0.294  0.851
Li  0.262  0.851  0.294
Li  0.500  0.081  0.566
Li  0.500  0.463  0.463
Li  0.500  0.566  0.081
Li  0.738  0.294  0.851
Li  0.738  0.851  0.294
Li  0.742  0.745  0.745
Pt  0.254  0.235  0.235
Pt  0.500  0.972  0.972
Pt  0.746  0.235  0.235

Values from the calculation:
**Formation enthalpy at 0 K**: -0.273 eV/atom
**DFT total energy**: -47.37 eV for the cell shown
**Space group**: Amm2 (38)

***

No. 3
Entry from the Alexandria database: a relaxed structure of LiPt3 (PBE-GGA).

Cell: 2.728 4.029 5.435 Å, 90.00 90.00 90.00°
Sites, in units of the cell vectors:
Li  0.000  0.000  0.000
Pt  0.000  0.000  0.500
Pt  0.500  0.500  0.245
Pt  0.500  0.500  0.755

Values from the calculation:
**Formation enthalpy at 0 K**: -0.291 eV/atom
**DFT total energy**: -21.20 eV for the cell shown
**Space group**: Pmmm (47)

***

No. 4
Entry from the Alexandria database: a relaxed structure of Li2Pt (PBE-GGA).

Cell: 10.174 10.174 10.174 Å, 156.49 156.49 33.48°
Sites, in units of the cell vectors:
Li  0.124  0.374  0.750
Li  0.286  0.536  0.750
Li  0.374  0.124  0.250
Li  0.464  0.714  0.750
Li  0.536  0.286  0.250
Li  0.626  0.876  0.750
Li  0.714  0.464  0.250
Li  0.876  0.626  0.250
Pt  0.047  0.797  0.250
Pt  0.203  0.953  0.250
Pt  0.797  0.047  0.750
Pt  0.953  0.203  0.750

Values from the calculation:
**Formation enthalpy at 0 K**: -0.447 eV/atom
**DFT total energy**: -44.84 eV for the cell shown
**Space group**: I4_1/amd (141)
**E above lowest polymorph**: 115 meV/atom

***

No. 5
Entry from the Alexandria database: a relaxed structure of LiPt8 (PBE-GGA).

Cell: 6.213 6.213 6.213 Å, 95.78 95.78 143.00°
Sites, in units of the cell vectors:
Li  0.000  0.000  0.000
Pt  0.000  0.327  0.327
Pt  0.000  0.673  0.673
Pt  0.327  0.000  0.327
Pt  0.337  0.337  0.675
Pt  0.337  0.663  0.000
Pt  0.663  0.337  0.000
Pt  0.663  0.663  0.325
Pt  0.673  0.000  0.673

Values from the calculation:
**Formation enthalpy at 0 K**: -0.193 eV/atom
**DFT total energy**: -51.98 eV for the cell shown
**Space group**: I4/mmm (139)

***

No. 6
Entry from the Alexandria database: a relaxed structure of LiPt2 (PBE-GGA).

Cell: 5.184 5.184 6.678 Å, 105.30 105.30 30.83°
Sites, in units of the cell vectors:
Li  0.000  0.000  0.000
Li  0.676  0.676  0.353
Pt  0.061  0.061  0.628
Pt  0.335  0.335  0.671
Pt  0.395  0.395  0.286
Pt  0.730  0.730  0.965

Values from the calculation:
**Formation enthalpy at 0 K**: -0.447 eV/atom
**DFT total energy**: -30.67 eV for the cell shown
**Space group**: Cm (8)
**E above lowest polymorph**: 2 meV/atom

***

No. 7
Entry from the Alexandria database: a relaxed structure of Li5Pt (PBE-GGA).

Cell: 4.861 4.861 4.492 Å, 90.00 90.00 120.00°
Sites, in units of the cell vectors:
Li  0.000  0.695  0.000
Li  0.305  0.305  0.000
Li  0.333  0.667  0.500
Li  0.667  0.333  0.500
Li  0.695  0.000  0.000
Pt  0.000  0.000  0.500

Values from the calculation:
**Formation enthalpy at 0 K**: -0.293 eV/atom
**DFT total energy**: -17.37 eV for the cell shown
**Space group**: P-62m (189)
**E above lowest polymorph**: 0 meV/atom

***

No. 8
Entry from the Alexandria database: a relaxed structure of LiPt (PBE-GGA).

Cell: 2.689 4.204 5.132 Å, 90.00 90.00 90.00°
Sites, in units of the cell vectors:
Li  0.250  0.250  0.129
Li  0.750  0.750  0.871
Pt  0.250  0.250  0.622
Pt  0.750  0.750  0.378

Values from the calculation:
**Formation enthalpy at 0 K**: -0.439 eV/atom
**DFT total energy**: -17.67 eV for the cell shown
**Space group**: Pmmn (59)